Entry from the Alexandria database: a relaxed MnPt3Rh crystal (PBE).

It has space group Cmcm (No. 63), with a = 3.909 Å, b = 19.675 Å, c = 3.890 Å, α = 90.00°, β = 90.00° and γ = 90.00°. The asymmetric unit holds Mn at (0.000, 0.151, 0.250), Pt at (0.000, 0.055, 0.750), Pt at (0.000, 0.249, 0.750), Pt at (0.000, 0.448, 0.750) and Rh at (0.000, 0.350, 0.250).

The energy above the most stable polymorph in this dataset comes out at 0.000 eV per atom. The formation energy is -0.224 eV/atom. Its calculated volume is 299.22 Å³ per cell. For the spin magnetization, the calculation gives 15.6 Bohr magnetons per cell.


Entry from the Alexandria database: a relaxed HfAgSb3 crystal (PBE).

It has space group Pm-3m (No. 221), with a = 5.492 Å, b = 5.492 Å, c = 5.492 Å, α = 90.00°, β = 90.00° and γ = 90.00°. The asymmetric unit holds Hf at (0.000, 0.000, 0.000), Ag at (0.500, 0.500, 0.500) and Sb at (0.000, 0.000, 0.500).

The energy above the most stable polymorph in this dataset comes out at 0.000 eV per atom. Its calculated volume is 165.69 Å³ per cell. The value obtained for the formation energy (no corrections) is 0.422 eV/atom. For the spin magnetization, the calculation gives 0.0 Bohr magnetons per cell.


Entry from the Alexandria database: a relaxed KLi4Cd8 crystal (PBE).

It has space group I4/mmm (No. 139), with a = 10.164 Å, b = 10.164 Å, c = 5.541 Å, α = 90.00°, β = 90.00° and γ = 90.00°. The asymmetric unit holds K at (0.000, 0.000, 0.000), Li at (0.250, 0.250, 0.250), Cd at (0.000, 0.219, 0.500) and Cd at (0.000, 0.351, 0.000).

The formation energy is -0.155 eV/atom. Its calculated volume is 572.41 Å³ per cell. For the spin magnetization, the calculation gives 0.0 Bohr magnetons per cell.